LiMg5Pd after structural relaxation, computed with GGA-PBE.

a b c (Å): 7.718 8.026 9.905
angles (deg): 90.00 110.10 90.00
Space group C2/c (No. 15)
One atom of each set of equivalent atoms:
Li (0.000, 0.000, 0.000) (multiplicity 4)
Mg (0.000, 0.162, 0.250) (multiplicity 4)
Mg (0.116, 0.360, 0.529) (multiplicity 8)
Mg (0.202, 0.190, 0.831) (multiplicity 8)
Pd (0.000, 0.490, 0.750) (multiplicity 4)

Density of states at the Fermi level = 2.87 states/eV/f.u.
E_form = -0.147 eV per atom

LaYSn6 after structural relaxation, computed with GGA-PBE.

a b c (Å): 4.823 4.823 9.295
angles (deg): 90.00 90.00 90.00
Space group P4/mmm (No. 123)
One atom of each set of equivalent atoms:
La (0.000, 0.000, 0.000) (multiplicity 1)
Y (0.000, 0.000, 0.500) (multiplicity 1)
Sn (0.000, 0.500, 0.256) (multiplicity 4)
Sn (0.500, 0.500, 0.000) (multiplicity 1)
Sn (0.500, 0.500, 0.500) (multiplicity 1)

Density of states at the Fermi level = 4.28 states/eV/f.u.
E_form = -0.506 eV per atom

CsTl2ICl2 after structural relaxation, computed with GGA-PBE.

a b c (Å): 8.042 8.205 8.629
angles (deg): 90.00 109.67 90.00
Space group P2_1/m (No. 11)
One atom of each set of equivalent atoms:
Cs (0.164, 0.250, 0.482) (multiplicity 2)
Tl (0.051, 0.250, 0.989) (multiplicity 2)
Tl (0.450, 0.750, 0.964) (multiplicity 2)
I (0.329, 0.750, 0.295) (multiplicity 2)
Cl (0.169, 0.508, 0.800) (multiplicity 4)

Density of states at the Fermi level = 0.00 states/eV/f.u.
ΔE_f (raw) = -1.160 eV per atom

InSbW after structural relaxation, computed with GGA-PBE.

a b c (Å): 3.3028 3.3028 6.8861
angles (deg): 90.00 90.00 120.00
Space group P3m1 (No. 156)
One atom of each set of equivalent atoms:
In (0.0000, 0.0000, 0.0000) (multiplicity 1)
Sb (0.6667, 0.3333, 0.3985) (multiplicity 1)
W (0.3333, 0.6667, 0.6817) (multiplicity 1)

Density of states at the Fermi level = 1.45 states/eV/f.u.
ΔE_f (raw) = 0.474 eV per atom

FeTcAg2 after structural relaxation, computed with GGA-PBE.

a b c (Å): 2.763 4.645 4.909
angles (deg): 90.00 90.00 90.00
Space group Pmmm (No. 47)
One atom of each set of equivalent atoms:
Fe (0.000, 0.000, 0.000) (multiplicity 1)
Tc (0.500, 0.500, 0.000) (multiplicity 1)
Ag (0.000, 0.500, 0.500) (multiplicity 1)
Ag (0.500, 0.000, 0.500) (multiplicity 1)

Density of states at the Fermi level = 3.23 states/eV/f.u.
E_form = 0.566 eV per atom

TaPS2N after structural relaxation, computed with GGA-PBE.

a b c (Å): 4.898 4.898 3.857
angles (deg): 90.00 90.00 90.00
Space group P4/mmm (No. 123)
One atom of each set of equivalent atoms:
Ta (0.000, 0.000, 0.000) (multiplicity 1)
P (0.500, 0.500, 0.500) (multiplicity 1)
S (0.000, 0.500, 0.000) (multiplicity 2)
N (0.000, 0.000, 0.500) (multiplicity 1)

Density of states at the Fermi level = 3.84 states/eV/f.u.
ΔE_f (raw) = 0.388 eV per atom

BaYGa after structural relaxation, computed with GGA-PBE.

a b c (Å): 3.787 3.787 14.021
angles (deg): 90.00 90.00 90.00
Space group P4mm (No. 99)
One atom of each set of equivalent atoms:
Ba (0.000, 0.000, 0.000) (multiplicity 1)
Ba (0.500, 0.500, 0.273) (multiplicity 1)
Y (0.000, 0.000, 0.495) (multiplicity 1)
Y (0.000, 0.000, 0.736) (multiplicity 1)
Ga (0.500, 0.500, 0.611) (multiplicity 1)
Ga (0.500, 0.500, 0.843) (multiplicity 1)

Density of states at the Fermi level = 3.36 states/eV/f.u.
E_form = -0.280 eV per atom

SiAuIO2 after structural relaxation, computed with GGA-PBE.

a b c (Å): 4.138 4.138 5.672
angles (deg): 90.00 90.00 90.00
Space group P4/mmm (No. 123)
One atom of each set of equivalent atoms:
Si (0.000, 0.000, 0.000) (multiplicity 1)
Au (0.500, 0.500, 0.500) (multiplicity 1)
I (0.500, 0.500, 0.000) (multiplicity 1)
O (0.000, 0.500, 0.500) (multiplicity 2)

Density of states at the Fermi level = 4.94 states/eV/f.u.
ΔE_f (raw) = 0.695 eV per atom

ThP2Rh after structural relaxation, computed with GGA-PBE.

a b c (Å): 4.6133 4.6133 18.8186
angles (deg): 90.00 90.00 120.00
Space group R-3m (No. 166, hexagonal axes)
One atom of each set of equivalent atoms:
Th (0.0000, 0.0000, 0.0000) (multiplicity 3)
P (0.0000, 0.0000, 0.3839) (multiplicity 6)
Rh (0.0000, 0.0000, 0.5000) (multiplicity 3)

Density of states at the Fermi level = 4.94 states/eV/f.u.
E_form = -0.026 eV per atom

Li9Cd2Hg after structural relaxation, computed with GGA-PBE.

a b c (Å): 5.033 5.112 8.872
angles (deg): 92.08 103.42 99.12
Space group P-1 (No. 2)
One atom of each set of equivalent atoms:
Li (0.000, 0.000, 0.000) (multiplicity 1)
Li (0.003, 0.006, 0.660) (multiplicity 2)
Li (0.004, 0.496, 0.831) (multiplicity 2)
Li (0.486, 0.745, 0.752) (multiplicity 2)
Li (0.498, 0.738, 0.417) (multiplicity 2)
Cd (0.496, 0.753, 0.087) (multiplicity 2)
Hg (0.000, 0.500, 0.500) (multiplicity 1)

Density of states at the Fermi level = 4.80 states/eV/f.u.
E_form = -0.197 eV per atom

SrTc3H after structural relaxation, computed with GGA-PBE.

a b c (Å): 4.210 4.210 4.210
angles (deg): 90.00 90.00 90.00
Space group Pm-3m (No. 221)
One atom of each set of equivalent atoms:
Sr (0.000, 0.000, 0.000) (multiplicity 1)
Tc (0.000, 0.500, 0.500) (multiplicity 3)
H (0.500, 0.500, 0.500) (multiplicity 1)

Energy = -6.2832 eV per atom
Density of states at the Fermi level = 7.03 states/eV/f.u.

Tl3In4Hg2 after structural relaxation, computed with GGA-PBE.

a b c (Å): 5.590 6.310 8.164
angles (deg): 73.17 83.29 68.33
Space group P-1 (No. 2)
One atom of each set of equivalent atoms:
Tl (0.000, 0.000, 0.000) (multiplicity 1)
Tl (0.433, 0.086, 0.684) (multiplicity 2)
In (0.085, 0.753, 0.637) (multiplicity 2)
In (0.308, 0.375, 0.987) (multiplicity 2)
Hg (0.273, 0.538, 0.329) (multiplicity 2)

Density of states at the Fermi level = 3.47 states/eV/f.u.
E_form = 0.014 eV per atom

Record order is preserved below.
M_tot: 0.00, 0.00, 0.00, 0.00, 3.29, 0.00, 0.00, 0.00, 0.00, 0.00, 0.00, 0.00 μB per formula unit